No. 1
Material: K2InPb
Method: DFT, GGA-PBEsol
State: optimized geometry

Structure (extended XYZ):
```
4
Lattice="3.409 0.049 0.000 -0.064 3.408 0.000 0.000 0.000 11.423" Properties=species:S:1:pos:R:3 pbc="T T T"
Pb 1.673 1.729 5.712
K 0.000 0.000 8.546
K 0.000 0.000 2.877
In 1.673 1.729 0.000
```

Properties
Relative energy among the computed polymorphs: 0.1190 eV/atom
Total magnetic moment: 0.000 μB/cell
Density of states at the Fermi level: 3.3 states/eV/cell
SG: Cmmm

No. 2
Material: KIn2Pb
Method: DFT, GGA-PBEsol
State: optimized geometry

Structure (extended XYZ):
```
4
Lattice="-2.619 2.094 0.552 -1.733 -0.936 -4.669 -2.586 -6.460 2.256" Properties=species:S:1:pos:R:3 pbc="T T T"
In -5.005 -4.500 2.760
In -3.618 -0.026 -1.402
Pb -3.517 -5.242 -0.393
K -2.607 -2.082 1.385
```

Properties
Total magnetic moment: 0.000 μB/cell
Density of states at the Fermi level: 1.8 states/eV/cell
E_tot: -2.84 eV per atom
SG: Pm

No. 3
Material: K2InPb
Method: DFT, GGA-PBEsol
State: optimized geometry

Structure (extended XYZ):
```
4
Lattice="-2.233 -2.691 -2.045 3.015 1.350 -5.070 3.604 -3.576 4.783" Properties=species:S:1:pos:R:3 pbc="T T T"
Pb 0.666 -0.969 -3.465
K 1.082 -3.678 -0.353
K 4.177 -4.698 -2.391
In 3.240 -1.160 -2.011
```

Properties
Relative energy among the computed polymorphs: 0.0000 eV/atom
Total magnetic moment: 0.000 μB/cell
Density of states at the Fermi level: 2.1 states/eV/cell
SG: Cm

No. 4
Material: KIn2Pb
Method: DFT, GGA-PBEsol
State: optimized geometry

Structure (extended XYZ):
```
4
Lattice="4.934 0.000 0.000 0.000 4.796 0.000 0.000 0.000 4.796" Properties=species:S:1:pos:R:3 pbc="T T T"
In 0.000 2.398 0.000
In 0.000 0.000 2.398
Pb 2.467 0.000 0.000
K 2.467 2.398 2.398
```

Properties
Total magnetic moment: 0.000 μB/cell
Density of states at the Fermi level: 2.1 states/eV/cell
E_tot: -2.78 eV per atom
SG: P4/mmm

No. 5
Material: K5InPb8
Method: DFT, GGA-PBEsol
State: optimized geometry

Structure (extended XYZ):
```
14
Lattice="-3.976 0.696 -5.423 -3.897 -5.143 -2.017 -11.842 2.646 4.807" Properties=species:S:1:pos:R:3 pbc="T T T"
K -13.965 -1.718 -2.624
K -3.058 -1.288 -2.137
K -5.749 -0.083 -0.010
K -9.857 -0.901 -1.317
K -16.657 -0.513 -0.496
Pb -13.325 1.437 -0.576
Pb -6.390 -3.238 -2.057
Pb -13.286 -1.475 1.123
Pb -11.342 1.090 2.128
Pb -8.296 1.057 2.003
Pb -6.429 -0.326 -3.756
Pb -8.373 -2.891 -4.762
Pb -11.419 -2.859 -4.637
In 0.000 0.000 0.000
```

Properties
Total magnetic moment: 0.000 μB/cell
Density of states at the Fermi level: 1.4 states/eV/cell
E_tot: -3.09 eV per atom
SG: R-3m

No. 6
Material: KIn2Pb2
Method: DFT, GGA-PBEsol
State: optimized geometry

Structure (extended XYZ):
```
5
Lattice="4.672 0.000 0.000 0.000 4.672 0.000 -2.336 -2.336 7.325" Properties=species:S:1:pos:R:3 pbc="T T T"
In 2.336 0.000 3.663
In 0.000 2.336 3.663
Pb 2.336 2.336 1.667
Pb 0.000 0.000 5.658
K 0.000 0.000 0.000
```

Properties
Relative energy among the computed polymorphs: 0.0000 eV/atom
Total magnetic moment: 0.000 μB/cell
Density of states at the Fermi level: 2.1 states/eV/cell
SG: I4/mmm

No. 7
Material: KIn2Pb
Method: DFT, GGA-PBEsol
State: optimized geometry

Structure (extended XYZ):
```
4
Lattice="3.841 0.043 0.000 -0.044 3.841 0.000 0.000 0.000 8.161" Properties=species:S:1:pos:R:3 pbc="T T T"
K 0.000 0.000 4.140
Pb 1.899 1.942 1.635
In 1.899 1.942 6.532
In 0.000 0.000 8.095
```

Properties
Total magnetic moment: 0.000 μB/cell
Density of states at the Fermi level: 1.8 states/eV/cell
E_tot: -2.86 eV per atom
SG: P4mm

No. 8
Material: KIn3Pd
Method: DFT, GGA-PBEsol
State: optimized geometry

Structure (extended XYZ):
```
5
Lattice="-0.576 1.659 -4.887 4.854 -1.498 -1.081 -1.755 -4.688 -1.385" Properties=species:S:1:pos:R:3 pbc="T T T"
In 2.427 -0.749 -0.540
In -0.877 -2.344 -0.692
In -0.288 0.830 -2.444
K 1.261 -2.263 -3.676
Pd 0.000 0.000 0.000
```

Properties
Total magnetic moment: 0.000 μB/cell
Density of states at the Fermi level: 2.7 states/eV/cell
E_tot: -3.38 eV per atom
SG: Pm-3m

No. 9
Material: KIn3Pt
Method: DFT, GGA-PBEsol
State: optimized geometry

Structure (extended XYZ):
```
5
Lattice="-5.020 -0.878 -1.084 0.916 -5.128 -0.088 -1.052 -0.275 5.095" Properties=species:S:1:pos:R:3 pbc="T T T"
In -0.526 -0.138 2.548
In -2.510 -0.439 -0.542
In 0.458 -2.564 -0.044
K -2.578 -3.141 1.962
Pt 0.000 0.000 0.000
```

Properties
Total magnetic moment: 0.000 μB/cell
Density of states at the Fermi level: 2.9 states/eV/cell
E_tot: -3.59 eV per atom
SG: Pm-3m

No. 10
Material: K2InPt2
Method: DFT, GGA-PBEsol
State: optimized geometry

Structure (extended XYZ):
```
10
Lattice="5.417 0.000 0.000 0.000 6.793 0.000 0.000 0.000 6.793" Properties=species:S:1:pos:R:3 pbc="T T T"
Pt 0.000 0.903 2.494
Pt 0.000 2.494 5.891
Pt 0.000 4.299 0.903
Pt 0.000 5.891 4.299
K 2.708 5.627 2.230
K 2.708 4.563 5.627
K 2.708 1.166 4.563
K 2.708 2.230 1.166
In 0.000 0.000 0.000
In 0.000 3.397 3.397
```

Properties
Total magnetic moment: 0.000 μB/cell
Density of states at the Fermi level: 4.9 states/eV/cell
E_tot: -3.94 eV per atom
SG: P4/mbm

No. 11
Material: KInPt2
Method: DFT, GGA-PBEsol
State: optimized geometry

Structure (extended XYZ):
```
4
Lattice="-0.058 -0.093 -2.827 -1.542 -4.878 0.192 -4.455 4.131 1.371" Properties=species:S:1:pos:R:3 pbc="T T T"
K -3.453 -1.602 0.123
Pt -0.395 0.131 0.004
Pt -2.618 0.761 -1.387
In -4.844 1.516 0.049
```

Properties
Total magnetic moment: 0.000 μB/cell
Density of states at the Fermi level: 1.8 states/eV/cell
E_tot: -4.56 eV per atom
SG: Cm

No. 12
Material: K2InPt
Method: DFT, GGA-PBEsol
State: optimized geometry

Structure (extended XYZ):
```
4
Lattice="3.468 0.000 0.000 0.000 4.113 0.000 -1.734 -2.057 9.761" Properties=species:S:1:pos:R:3 pbc="T T T"
In 0.000 2.057 0.000
K 1.734 2.057 6.887
K 0.000 0.000 2.874
Pt 1.734 0.000 0.000
```

Properties
Total magnetic moment: 0.000 μB/cell
Density of states at the Fermi level: 1.8 states/eV/cell
E_tot: -3.19 eV per atom
SG: Immm

No. 13
Material: K2InPt
Method: DFT, GGA-PBEsol
State: optimized geometry

Structure (extended XYZ):
```
4
Lattice="4.573 0.000 0.000 2.287 3.961 0.000 2.287 1.320 8.466" Properties=species:S:1:pos:R:3 pbc="T T T"
K 2.287 1.320 7.489
K 2.287 1.320 2.989
Pt 4.573 2.640 5.242
In 6.860 3.961 5.238
```

Properties
Total magnetic moment: 0.000 μB/cell
Density of states at the Fermi level: 2.2 states/eV/cell
E_tot: -3.22 eV per atom
SG: R3m

No. 14
Material: KInPtRh2
Method: DFT, GGA-PBEsol
State: optimized geometry

Structure (extended XYZ):
```
5
Lattice="4.783 0.000 0.000 0.000 4.783 0.000 0.000 0.000 5.445" Properties=species:S:1:pos:R:3 pbc="T T T"
In 2.392 2.392 2.722
Pt 0.000 0.000 0.000
Rh 2.392 0.000 0.000
Rh 0.000 2.392 0.000
K 0.000 0.000 2.722
```

Properties
Total magnetic moment: 0.002 μB/cell
Density of states at the Fermi level: 4.6 states/eV/cell
E_tot: -4.43 eV per atom
SG: P4/mmm

No. 15
Material: KRbIn3
Method: DFT, GGA-PBEsol
State: optimized geometry

Structure (extended XYZ):
```
5
Lattice="6.241 0.000 0.000 0.000 6.241 0.000 0.000 0.000 6.241" Properties=species:S:1:pos:R:3 pbc="T T T"
In 0.000 3.120 0.000
In 0.000 0.000 3.120
In 3.120 0.000 0.000
Rb 0.000 0.000 0.000
K 3.120 3.120 3.120
```

Properties
Total magnetic moment: 0.001 μB/cell
Density of states at the Fermi level: 5.5 states/eV/cell
E_tot: -1.52 eV per atom
SG: Pm-3m

No. 16
Material: KIn3Re
Method: DFT, GGA-PBEsol
State: optimized geometry

Structure (extended XYZ):
```
5
Lattice="-4.954 -2.183 1.202 -0.031 -2.621 -4.887 2.492 -4.373 2.329" Properties=species:S:1:pos:R:3 pbc="T T T"
In -2.477 -1.092 0.601
In 1.246 -2.186 1.165
In -0.015 -1.310 -2.444
K 0.000 0.000 0.000
Re -1.246 -4.588 -0.678
```

Properties
Total magnetic moment: 3.538 μB/cell
Density of states at the Fermi level: 4.5 states/eV/cell
E_tot: -2.45 eV per atom
SG: Pm-3m

No. 17
Material: KIn2Re
Method: DFT, GGA-PBEsol
State: optimized geometry

Structure (extended XYZ):
```
4
Lattice="2.913 0.000 0.103 0.000 4.603 0.000 -0.300 0.000 8.108" Properties=species:S:1:pos:R:3 pbc="T T T"
K 0.943 0.000 4.157
In 2.493 2.301 1.673
In 2.278 0.000 7.329
Re 0.819 2.301 7.369
```

Properties
Relative energy among the computed polymorphs: 0.0000 eV/atom
Total magnetic moment: 0.000 μB/cell
Density of states at the Fermi level: 2.6 states/eV/cell
SG: Pm

No. 18
Material: KInRe2
Method: DFT, GGA-PBEsol
State: optimized geometry

Structure (extended XYZ):
```
4
Lattice="-2.627 0.646 -2.822 2.456 -1.520 -2.634 -1.906 -4.404 0.765" Properties=species:S:1:pos:R:3 pbc="T T T"
In -1.039 -2.639 -2.345
Re -1.313 0.323 -1.411
Re 1.228 -0.760 -1.317
K -0.953 -2.202 0.383
```

Properties
Total magnetic moment: 0.000 μB/cell
Density of states at the Fermi level: 3.4 states/eV/cell
E_tot: -6.12 eV per atom
SG: P4/mmm

No. 19
Material: KIn2Re
Method: DFT, GGA-PBEsol
State: optimized geometry

Structure (extended XYZ):
```
4
Lattice="2.850 0.000 0.000 -1.425 4.546 0.011 0.000 -0.628 7.351" Properties=species:S:1:pos:R:3 pbc="T T T"
K 0.000 -0.314 3.675
Re 1.425 0.000 0.000
In 1.425 1.883 5.998
In 0.000 2.035 1.364
```

Properties
Relative energy among the computed polymorphs: 0.0413 eV/atom
Total magnetic moment: 0.001 μB/cell
Density of states at the Fermi level: 3.0 states/eV/cell
SG: C2/m

No. 20
Material: KIn2Re
Method: DFT, GGA-PBEsol
State: optimized geometry

Structure (extended XYZ):
```
4
Lattice="-0.814 2.529 -1.610 -2.961 0.420 -0.840 -3.055 6.054 8.056" Properties=species:S:1:pos:R:3 pbc="T T T"
K -3.415 4.502 2.803
Re 0.000 0.000 0.000
In -1.640 2.060 1.067
In -5.190 6.944 4.539
```

Properties
Relative energy among the computed polymorphs: 0.0072 eV/atom
Total magnetic moment: 0.000 μB/cell
Density of states at the Fermi level: 2.4 states/eV/cell
SG: R-3m

No. 21
Material: K4InRe
Method: DFT, GGA-PBEsol
State: optimized geometry

Structure (extended XYZ):
```
6
Lattice="6.652 0.000 0.000 3.326 5.761 0.000 3.326 1.920 5.431" Properties=species:S:1:pos:R:3 pbc="T T T"
K 4.993 2.883 2.038
K 8.311 2.883 2.038
K 6.652 3.841 4.748
K 6.652 5.756 2.038
In 0.000 0.000 0.000
Re 9.978 5.761 4.074
```

Properties
Total magnetic moment: 3.491 μB/cell
Density of states at the Fermi level: 4.0 states/eV/cell
E_tot: -2.13 eV per atom
SG: F-43m

No. 22
Material: KInRe2
Method: DFT, GGA-PBEsol
State: optimized geometry

Structure (extended XYZ):
```
4
Lattice="2.629 0.000 0.000 0.000 5.602 0.000 0.000 -2.801 5.041" Properties=species:S:1:pos:R:3 pbc="T T T"
Re 0.000 -1.400 2.520
Re 0.000 1.400 2.520
In 1.314 0.000 0.000
K 1.314 2.801 0.000
```

Properties
Total magnetic moment: 0.001 μB/cell
Density of states at the Fermi level: 2.7 states/eV/cell
E_tot: -6.27 eV per atom
SG: Cmmm

No. 23
Material: KTiIn2Re
Method: DFT, GGA-PBEsol
State: optimized geometry

Structure (extended XYZ):
```
5
Lattice="-1.629 -4.146 0.924 4.023 -2.138 -2.504 2.717 -0.079 4.432" Properties=species:S:1:pos:R:3 pbc="T T T"
In 1.358 -0.040 2.216
In 2.011 -1.069 -1.252
Ti 2.556 -3.182 1.426
K 0.000 0.000 0.000
Re -0.814 -2.073 0.462
```

Properties
Total magnetic moment: 0.767 μB/cell
Density of states at the Fermi level: 6.4 states/eV/cell
E_tot: -3.32 eV per atom
SG: P4/mmm

No. 24
Material: KInRh2
Method: DFT, GGA-PBEsol
State: optimized geometry

Structure (extended XYZ):
```
4
Lattice="3.200 0.000 0.000 0.000 3.200 0.000 0.000 0.000 7.642" Properties=species:S:1:pos:R:3 pbc="T T T"
K 1.600 1.600 3.821
Rh 0.000 0.000 1.460
Rh 0.000 0.000 6.182
In 1.600 1.600 0.000
```

Properties
Total magnetic moment: 0.002 μB/cell
Density of states at the Fermi level: 5.0 states/eV/cell
E_tot: -4.81 eV per atom
SG: P4/mmm

No. 25
Material: KInRh2
Method: DFT, GGA-PBEsol
State: optimized geometry

Structure (extended XYZ):
```
4
Lattice="2.931 0.000 0.000 0.000 2.931 0.000 0.000 0.000 9.099" Properties=species:S:1:pos:R:3 pbc="T T T"
Rh 0.000 0.000 0.522
Rh 1.466 1.466 2.059
In 0.000 0.000 4.027
K 1.466 1.466 7.041
```

Properties
Total magnetic moment: 0.008 μB/cell
Density of states at the Fermi level: 3.8 states/eV/cell
E_tot: -4.85 eV per atom
SG: P4mm

No. 26
Material: KInRu2
Method: DFT, GGA-PBEsol
State: optimized geometry

Structure (extended XYZ):
```
4
Lattice="-1.933 -2.070 0.670 0.915 -1.587 -2.261 6.308 -4.127 5.448" Properties=species:S:1:pos:R:3 pbc="T T T"
Ru 0.408 -0.267 0.352
Ru 0.880 -2.737 0.404
K 4.356 -5.011 3.407
In 2.800 -1.832 2.418
```

Properties
Total magnetic moment: 0.002 μB/cell
Density of states at the Fermi level: 5.0 states/eV/cell
E_tot: -5.67 eV per atom
SG: P4mm

No. 27
Material: KInRu2
Method: DFT, GGA-PBEsol
State: optimized geometry

Structure (extended XYZ):
```
4
Lattice="2.929 0.000 0.000 0.000 4.845 0.000 0.000 0.000 5.042" Properties=species:S:1:pos:R:3 pbc="T T T"
In 1.464 2.423 0.000
Ru 1.464 0.000 2.521
Ru 0.000 0.000 0.000
K 0.000 2.423 2.521
```

Properties
Total magnetic moment: 1.407 μB/cell
Density of states at the Fermi level: 5.5 states/eV/cell
E_tot: -4.98 eV per atom
SG: Pmmm

No. 28
Material: KInRu2
Method: DFT, GGA-PBEsol
State: optimized geometry

Structure (extended XYZ):
```
4
Lattice="-4.599 -0.171 0.643 -1.826 -3.141 2.897 -1.833 1.361 4.048" Properties=species:S:1:pos:R:3 pbc="T T T"
In -4.129 -0.975 3.794
K -2.065 -0.488 1.897
Ru -6.194 -1.463 5.691
Ru 0.000 0.000 0.000
```

Properties
Total magnetic moment: 0.005 μB/cell
Density of states at the Fermi level: 3.8 states/eV/cell
E_tot: -5.05 eV per atom
SG: F-43m

No. 29
Material: KInRu2
Method: DFT, GGA-PBEsol
State: optimized geometry

Structure (extended XYZ):
```
4
Lattice="2.602 0.000 0.000 0.000 5.497 0.001 0.000 -2.238 5.021" Properties=species:S:1:pos:R:3 pbc="T T T"
In 1.301 0.000 0.000
K 1.301 1.630 2.511
Ru 0.000 -1.119 2.511
Ru 0.000 2.749 0.001
```

Properties
Total magnetic moment: 0.003 μB/cell
Density of states at the Fermi level: 4.4 states/eV/cell
E_tot: -5.00 eV per atom
SG: Cmmm